# GGA-PBE AgSb2Pb, optimized geometry
data_AgSb2Pb
_space_group_name_H-M_alt 'R -3 m'
_space_group_IT_number 166
_space_group_name_Hall '-R 3 2"'
_cell_length_a 3.4830
_cell_length_b 3.4830
_cell_length_c 30.2700
_cell_angle_alpha 90.00
_cell_angle_beta 90.00
_cell_angle_gamma 120.00
loop_
_atom_site_label
_atom_site_fract_x
_atom_site_fract_y
_atom_site_fract_z
Ag1 0.0000 0.0000 0.0000
Sb1 0.0000 0.0000 0.2620
Pb1 0.0000 0.0000 0.5000
# crystal system	trigonal

---

# GGA-PBE AgSbPb2, optimized geometry
data_AgSbPb2
_space_group_name_H-M_alt 'R 3 m'
_space_group_IT_number 160
_space_group_name_Hall 'R 3 -2"'
_cell_length_a 3.4515
_cell_length_b 3.4515
_cell_length_c 31.8629
_cell_angle_alpha 90.00
_cell_angle_beta 90.00
_cell_angle_gamma 120.00
loop_
_atom_site_label
_atom_site_fract_x
_atom_site_fract_y
_atom_site_fract_z
Ag1 0.0000 0.0000 0.0000
Sb1 0.0000 0.0000 0.2650
Pb1 0.0000 0.0000 0.5103
Pb2 0.0000 0.0000 0.7419
# crystal system	trigonal

---

# GGA-PBE AgSbPb2, optimized geometry
data_AgSbPb2
_space_group_name_H-M_alt 'P -3 m 1'
_space_group_IT_number 164
_space_group_name_Hall '-P 3 2"'
_cell_length_a 4.7606
_cell_length_b 4.7606
_cell_length_c 6.1131
_cell_angle_alpha 90.00
_cell_angle_beta 90.00
_cell_angle_gamma 120.00
loop_
_atom_site_label
_atom_site_fract_x
_atom_site_fract_y
_atom_site_fract_z
Ag1 0.0000 0.0000 0.0000
Sb1 0.0000 0.0000 0.5000
Pb1 0.3333 0.6667 0.2147
# crystal system	trigonal

---

# GGA-PBE AgSbPb2, optimized geometry
data_AgSbPb2
_space_group_name_H-M_alt 'I -4 2 d'
_space_group_IT_number 122
_space_group_name_Hall 'I -4 2bw'
_cell_length_a 6.864
_cell_length_b 6.864
_cell_length_c 12.893
_cell_angle_alpha 90.00
_cell_angle_beta 90.00
_cell_angle_gamma 90.00
loop_
_atom_site_label
_atom_site_fract_x
_atom_site_fract_y
_atom_site_fract_z
Ag1 0.000 0.000 0.000
Sb1 0.000 0.000 0.500
Pb1 0.229 0.250 0.125
# crystal system	tetragonal

---

# GGA-PBE AgSbPb2, optimized geometry
data_AgSbPb2
_space_group_name_H-M_alt 'P 4/m m m'
_space_group_IT_number 123
_space_group_name_Hall '-P 4 2'
_cell_length_a 4.931
_cell_length_b 4.931
_cell_length_c 4.539
_cell_angle_alpha 90.00
_cell_angle_beta 90.00
_cell_angle_gamma 90.00
loop_
_atom_site_label
_atom_site_fract_x
_atom_site_fract_y
_atom_site_fract_z
Ag1 0.000 0.000 0.000
Sb1 0.500 0.500 0.000
Pb1 0.000 0.500 0.500
# crystal system	tetragonal

---

# GGA-PBE Ag3Sb5Pb12, optimized geometry
data_Ag3Sb5Pb12
_space_group_name_H-M_alt 'I a -3 d'
_space_group_IT_number 230
_space_group_name_Hall '-I 4bd 2c 3'
_cell_length_a 17.760
_cell_length_b 17.760
_cell_length_c 17.760
_cell_angle_alpha 90.00
_cell_angle_beta 90.00
_cell_angle_gamma 90.00
loop_
_atom_site_label
_atom_site_fract_x
_atom_site_fract_y
_atom_site_fract_z
Ag1 0.000 0.250 0.125
Sb1 0.000 0.000 0.000
Sb2 0.000 0.250 0.375
Pb1 0.022 0.089 0.650
# crystal system	cubic

---

# GGA-PBE Ag2Sb2Pb, optimized geometry
data_Ag2Sb2Pb
_space_group_name_H-M_alt 'I 4/m m m'
_space_group_IT_number 139
_space_group_name_Hall '-I 4 2'
_cell_length_a 4.172
_cell_length_b 4.172
_cell_length_c 14.927
_cell_angle_alpha 90.00
_cell_angle_beta 90.00
_cell_angle_gamma 90.00
loop_
_atom_site_label
_atom_site_fract_x
_atom_site_fract_y
_atom_site_fract_z
Ag1 0.000 0.500 0.250
Sb1 0.000 0.000 0.114
Pb1 0.000 0.000 0.500
# crystal system	tetragonal
# polymorph energy (0 for the lowest one)	0	meV/atom

---

# GGA-PBE AgSb2Pb, optimized geometry
data_AgSb2Pb
_space_group_name_H-M_alt 'R 3 m'
_space_group_IT_number 160
_space_group_name_Hall 'R 3 -2"'
_cell_length_a 4.5337
_cell_length_b 4.5337
_cell_length_c 19.2964
_cell_angle_alpha 90.00
_cell_angle_beta 90.00
_cell_angle_gamma 120.00
loop_
_atom_site_label
_atom_site_fract_x
_atom_site_fract_y
_atom_site_fract_z
Ag1 0.0000 0.0000 0.0000
Sb1 0.0000 0.0000 0.3987
Sb2 0.0000 0.0000 0.6000
Pb1 0.0000 0.0000 0.8310
# crystal system	trigonal

---

# GGA-PBE AgSb2Pb, optimized geometry
data_AgSb2Pb
_space_group_name_H-M_alt 'C m m m'
_space_group_IT_number 65
_space_group_name_Hall '-C 2 2'
_cell_length_a 6.809
_cell_length_b 9.484
_cell_length_c 3.319
_cell_angle_alpha 90.00
_cell_angle_beta 90.00
_cell_angle_gamma 90.00
loop_
_atom_site_label
_atom_site_fract_x
_atom_site_fract_y
_atom_site_fract_z
Ag1 0.000 0.000 0.000
Sb1 0.250 0.250 0.500
Pb1 0.000 0.500 0.000
# crystal system	orthorhombic

---

# GGA-PBE AgSbPb2, optimized geometry
data_AgSbPb2
_space_group_name_H-M_alt 'P 1 21/m 1'
_space_group_IT_number 11
_space_group_name_Hall '-P 2yb'
_cell_length_a 6.473
_cell_length_b 4.432
_cell_length_c 8.492
_cell_angle_alpha 90.00
_cell_angle_beta 111.09
_cell_angle_gamma 90.00
loop_
_atom_site_label
_atom_site_fract_x
_atom_site_fract_y
_atom_site_fract_z
Ag1 0.157 0.250 0.289
Sb1 0.159 0.250 0.784
Pb1 0.299 0.750 0.092
Pb2 0.329 0.750 0.569
# crystal system	monoclinic

---

# GGA-PBE AgSb2Pb2, optimized geometry
data_AgSb2Pb2
_space_group_name_H-M_alt 'P 4/m b m'
_space_group_IT_number 127
_space_group_name_Hall '-P 4 2ab'
_cell_length_a 7.535
_cell_length_b 7.535
_cell_length_c 5.200
_cell_angle_alpha 90.00
_cell_angle_beta 90.00
_cell_angle_gamma 90.00
loop_
_atom_site_label
_atom_site_fract_x
_atom_site_fract_y
_atom_site_fract_z
Ag1 0.000 0.000 0.000
Sb1 0.138 0.362 0.000
Pb1 0.181 0.681 0.500
# crystal system	tetragonal
# polymorph energy (0 for the lowest one)	60	meV/atom

---

# GGA-PBE AgSb2Pb, optimized geometry
data_AgSb2Pb
_space_group_name_H-M_alt 'P 1 2/m 1'
_space_group_IT_number 10
_space_group_name_Hall '-P 2y'
_cell_length_a 3.349
_cell_length_b 4.192
_cell_length_c 7.596
_cell_angle_alpha 90.00
_cell_angle_beta 92.72
_cell_angle_gamma 90.00
loop_
_atom_site_label
_atom_site_fract_x
_atom_site_fract_y
_atom_site_fract_z
Ag1 0.000 0.000 0.000
Sb1 0.449 0.500 0.209
Pb1 0.000 0.000 0.500
# crystal system	monoclinic

---

# GGA-PBE Ag2Sb2Pb, optimized geometry
data_Ag2Sb2Pb
_space_group_name_H-M_alt 'P 4/m b m'
_space_group_IT_number 127
_space_group_name_Hall '-P 4 2ab'
_cell_length_a 8.540
_cell_length_b 8.540
_cell_length_c 3.383
_cell_angle_alpha 90.00
_cell_angle_beta 90.00
_cell_angle_gamma 90.00
loop_
_atom_site_label
_atom_site_fract_x
_atom_site_fract_y
_atom_site_fract_z
Ag1 0.123 0.377 0.000
Sb1 0.174 0.674 0.500
Pb1 0.000 0.000 0.000
# crystal system	tetragonal
# polymorph energy (0 for the lowest one)	3	meV/atom

---

# GGA-PBE AgSb2Pb, optimized geometry
data_AgSb2Pb
_space_group_name_H-M_alt 'I m m 2'
_space_group_IT_number 44
_space_group_name_Hall 'I 2 -2'
_cell_length_a 4.032
_cell_length_b 5.068
_cell_length_c 10.617
_cell_angle_alpha 90.00
_cell_angle_beta 90.00
_cell_angle_gamma 90.00
loop_
_atom_site_label
_atom_site_fract_x
_atom_site_fract_y
_atom_site_fract_z
Ag1 0.000 0.000 0.000
Sb1 0.000 0.000 0.556
Sb2 0.000 0.500 0.276
Pb1 0.000 0.500 0.780
# crystal system	orthorhombic

---

# GGA-PBE AgSbPb2, optimized geometry
data_AgSbPb2
_space_group_name_H-M_alt 'R -3 m'
_space_group_IT_number 166
_space_group_name_Hall '-R 3 2"'
_cell_length_a 3.4963
_cell_length_b 3.4963
_cell_length_c 30.9526
_cell_angle_alpha 90.00
_cell_angle_beta 90.00
_cell_angle_gamma 120.00
loop_
_atom_site_label
_atom_site_fract_x
_atom_site_fract_y
_atom_site_fract_z
Ag1 0.0000 0.0000 0.0000
Sb1 0.0000 0.0000 0.5000
Pb1 0.0000 0.0000 0.2570
# crystal system	trigonal

---

# GGA-PBE Ag3Sb2Pb, optimized geometry
data_Ag3Sb2Pb
_space_group_name_H-M_alt 'C 1 2/m 1'
_space_group_IT_number 12
_space_group_name_Hall '-C 2y'
_cell_length_a 17.508
_cell_length_b 4.381
_cell_length_c 8.873
_cell_angle_alpha 90.00
_cell_angle_beta 117.63
_cell_angle_gamma 90.00
loop_
_atom_site_label
_atom_site_fract_x
_atom_site_fract_y
_atom_site_fract_z
Ag1 0.054 0.000 0.416
Ag2 0.091 0.500 0.663
Ag3 0.192 0.500 0.482
Sb1 0.022 0.500 0.186
Sb2 0.221 0.000 0.729
Pb1 0.136 0.000 0.978
# crystal system	monoclinic

---

# GGA-PBE Ag3SbPb, optimized geometry
data_Ag3SbPb
_space_group_name_H-M_alt 'P m -3 m'
_space_group_IT_number 221
_space_group_name_Hall '-P 4 2 3'
_cell_length_a 5.261
_cell_length_b 5.261
_cell_length_c 5.261
_cell_angle_alpha 90.00
_cell_angle_beta 90.00
_cell_angle_gamma 90.00
loop_
_atom_site_label
_atom_site_fract_x
_atom_site_fract_y
_atom_site_fract_z
Ag1 0.000 0.000 0.500
Sb1 0.000 0.000 0.000
Pb1 0.500 0.500 0.500
# crystal system	cubic
# polymorph energy (0 for the lowest one)	314	meV/atom

---

# GGA-PBE AgSb2Pb, optimized geometry
data_AgSb2Pb
_space_group_name_H-M_alt 'I 4/m m m'
_space_group_IT_number 139
_space_group_name_Hall '-I 4 2'
_cell_length_a 4.518
_cell_length_b 4.518
_cell_length_c 10.510
_cell_angle_alpha 90.00
_cell_angle_beta 90.00
_cell_angle_gamma 90.00
loop_
_atom_site_label
_atom_site_fract_x
_atom_site_fract_y
_atom_site_fract_z
Ag1 0.000 0.000 0.000
Sb1 0.000 0.500 0.250
Pb1 0.000 0.000 0.500
# crystal system	tetragonal

---

# GGA-PBE AgSbPb2, optimized geometry
data_AgSbPb2
_space_group_name_H-M_alt 'P 1 m 1'
_space_group_IT_number 6
_space_group_name_Hall 'P -2y'
_cell_length_a 3.494
_cell_length_b 4.832
_cell_length_c 6.752
_cell_angle_alpha 90.00
_cell_angle_beta 104.14
_cell_angle_gamma 90.00
loop_
_atom_site_label
_atom_site_fract_x
_atom_site_fract_y
_atom_site_fract_z
Ag1 0.000 0.000 0.000
Sb1 0.884 0.500 0.741
Pb1 0.249 0.000 0.492
Pb2 0.598 0.500 0.186
# crystal system	monoclinic

---

# GGA-PBE AgSbPb2, optimized geometry
data_AgSbPb2
_space_group_name_H-M_alt 'I m m 2'
_space_group_IT_number 44
_space_group_name_Hall 'I 2 -2'
_cell_length_a 4.365
_cell_length_b 5.018
_cell_length_c 10.123
_cell_angle_alpha 90.00
_cell_angle_beta 90.00
_cell_angle_gamma 90.00
loop_
_atom_site_label
_atom_site_fract_x
_atom_site_fract_y
_atom_site_fract_z
Ag1 0.000 0.000 0.000
Sb1 0.000 0.500 0.296
Pb1 0.000 0.000 0.527
Pb2 0.000 0.500 0.759
# crystal system	orthorhombic

---

# GGA-PBE Ag3Sb3Pb, optimized geometry
data_Ag3Sb3Pb
_space_group_name_H-M_alt 'P m -3 n'
_space_group_IT_number 223
_space_group_name_Hall '-P 4n 2 3'
_cell_length_a 7.640
_cell_length_b 7.640
_cell_length_c 7.640
_cell_angle_alpha 90.00
_cell_angle_beta 90.00
_cell_angle_gamma 90.00
loop_
_atom_site_label
_atom_site_fract_x
_atom_site_fract_y
_atom_site_fract_z
Ag1 0.000 0.250 0.500
Sb1 0.000 0.500 0.250
Pb1 0.000 0.000 0.000
# crystal system	cubic

---

# GGA-PBE AgSb2Pb, optimized geometry
data_AgSb2Pb
_space_group_name_H-M_alt 'I -4 2 d'
_space_group_IT_number 122
_space_group_name_Hall 'I -4 2bw'
_cell_length_a 6.594
_cell_length_b 6.594
_cell_length_c 12.999
_cell_angle_alpha 90.00
_cell_angle_beta 90.00
_cell_angle_gamma 90.00
loop_
_atom_site_label
_atom_site_fract_x
_atom_site_fract_y
_atom_site_fract_z
Ag1 0.000 0.000 0.000
Sb1 0.219 0.250 0.125
Pb1 0.000 0.000 0.500
# crystal system	tetragonal

---

# GGA-PBE AgSb2Pb2, optimized geometry
data_AgSb2Pb2
_space_group_name_H-M_alt 'I 4/m m m'
_space_group_IT_number 139
_space_group_name_Hall '-I 4 2'
_cell_length_a 4.259
_cell_length_b 4.259
_cell_length_c 16.992
_cell_angle_alpha 90.00
_cell_angle_beta 90.00
_cell_angle_gamma 90.00
loop_
_atom_site_label
_atom_site_fract_x
_atom_site_fract_y
_atom_site_fract_z
Ag1 0.000 0.000 0.000
Sb1 0.000 0.500 0.250
Pb1 0.000 0.000 0.406
# crystal system	tetragonal
# polymorph energy (0 for the lowest one)	197	meV/atom

---

| no. | E (eV/atom) | formation energy from raw total energies (eV/f.u.) |
| --- | --- | --- |
| 1 | -3.582 | 0.48 |
| 2 | -3.513 | 0.34 |
| 3 | -3.500 | 0.39 |
| 4 | -3.354 | 0.98 |
| 5 | -3.483 | 0.46 |
| 6 | -3.508 | 3.50 |
| 7 | -3.424 | 0.54 |
| 8 | -3.584 | 0.47 |
| 9 | -3.509 | 0.77 |
| 10 | -3.548 | 0.20 |
| 11 | -3.592 | 0.55 |
| 12 | -3.566 | 0.54 |
| 13 | -3.421 | 0.55 |
| 14 | -3.518 | 0.73 |
| 15 | -3.466 | 0.53 |
| 16 | -3.363 | 0.33 |
| 17 | -2.843 | 2.17 |
| 18 | -3.508 | 0.77 |
| 19 | -3.512 | 0.34 |
| 20 | -3.488 | 0.44 |
| 21 | -3.069 | 3.15 |
| 22 | -3.516 | 0.74 |
| 23 | -3.455 | 1.24 |